This record from Alexandria describes a geometry-optimized CsAl3Ni structure. The functional is PBE.

Cell: 4.7969 4.7969 4.7969 Å, 90.00 90.00 90.00°
Atoms (fractional coordinates):
1 Cs 0.0000 0.0000 0.0000
2 Al 0.0000 0.5000 0.5000
3 Al 0.5000 0.0000 0.5000
4 Al 0.5000 0.5000 0.0000
5 Ni 0.5000 0.5000 0.5000

Results
The total magnetization comes out at 0.00 μB per atom. The excess energy over the best structure of this formula in the dataset comes out at 0 meV/atom. The calculation puts the formation energy at 15 kJ/mol of atoms. Its total energy is -17.10 eV per cell.